1.
Ba3Ge2Pb2 | the Alexandria database | PBE-GGA | relaxed; spin magnetization = 0.00 μB/f.u.; electronic total energy = -51.93 eV per cell; space group = C2/m; formation enthalpy at 0 K = -506 meV/atom
1.0
12.6441 0.0000 0.0000
0.0000 5.0009 0.0000
-4.1211 0.0000 8.1477
Ba Ge Pb
6 4 4
direct
0.0000 0.0000 0.0000
0.1807 0.0000 0.6500
0.3193 0.5000 0.3500
0.5000 0.5000 0.0000
0.6807 0.5000 0.6500
0.8193 0.0000 0.3500
0.1962 0.5000 0.9499
0.3038 0.0000 0.0501
0.6962 0.0000 0.9499
0.8038 0.5000 0.0501
0.0245 0.5000 0.3309
0.4755 0.0000 0.6691
0.5245 0.0000 0.3309
0.9755 0.5000 0.6691

=====

2.
Ba5Ge2Pb | the Alexandria database | PBE-GGA | relaxed; spin magnetization = 0.06 μB/f.u.; electronic total energy = -53.84 eV per cell; space group = I4/mcm; formation enthalpy at 0 K = -545 meV/atom
1.0
-4.3816 4.3816 8.6018
4.3816 -4.3816 8.6018
4.3816 4.3816 -8.6018
Ba Ge Pb
10 4 2
direct
0.0000 0.0000 0.0000
0.0412 0.5412 0.8565
0.1846 0.0412 0.5000
0.3154 0.8154 0.8565
0.4588 0.3154 0.5000
0.5000 0.5000 0.0000
0.5412 0.6846 0.5000
0.6846 0.1846 0.1435
0.8154 0.9588 0.5000
0.9588 0.4588 0.1435
0.1076 0.3924 0.5000
0.3924 0.8924 0.2849
0.6076 0.1076 0.7151
0.8924 0.6076 0.5000
0.2500 0.2500 0.0000
0.7500 0.7500 0.0000

=====

3.
BaGePb | the Alexandria database | PBE-GGA | relaxed; spin magnetization = 0.00 μB/f.u.; electronic total energy = -11.65 eV per cell; space group = P3m1; formation enthalpy at 0 K = -468 meV/atom
1.0
4.6320 0.0000 0.0000
-2.3160 4.0115 0.0000
0.0000 0.0000 5.5140
Ba Ge Pb
1 1 1
direct
0.0000 0.0000 0.0000
0.3333 0.6667 0.6550
0.6667 0.3333 0.4434

=====

4.
Ba8GePb2 | the Alexandria database | PBE-GGA | relaxed; spin magnetization = 0.00 μB/f.u.; electronic total energy = -31.41 eV per cell; space group = C2/m; formation enthalpy at 0 K = -364 meV/atom
1.0
11.0144 -2.9586 0.0000
11.0144 2.9586 0.0000
-2.1597 0.0000 7.7855
Ba Ge Pb
8 1 2
direct
0.0268 0.0268 0.2971
0.2137 0.2137 0.8023
0.3463 0.3463 0.5455
0.4085 0.4085 0.0793
0.5915 0.5915 0.9207
0.6537 0.6537 0.4545
0.7863 0.7863 0.1977
0.9732 0.9732 0.7029
0.5000 0.5000 0.5000
0.1857 0.1857 0.2200
0.8143 0.8143 0.7800

=====

5.
BaGe2Pb | the Alexandria database | PBE-GGA | relaxed; spin magnetization = 0.00 μB/f.u.; electronic total energy = -46.83 eV per cell; space group = R-3m; formation enthalpy at 0 K = -186 meV/atom
1.0
4.9857 0.0000 0.0000
-2.4928 4.3177 0.0000
0.0000 0.0000 17.0284
Ba Ge Pb
3 6 3
direct
0.0000 0.0000 0.0000
0.3333 0.6667 0.6667
0.6667 0.3333 0.3333
0.0000 0.0000 0.2114
0.0000 0.0000 0.7886
0.3333 0.6667 0.4552
0.3333 0.6667 0.8781
0.6667 0.3333 0.1219
0.6667 0.3333 0.5448
0.0000 0.0000 0.5000
0.3333 0.6667 0.1667
0.6667 0.3333 0.8333

=====

6.
BaGePb | the Alexandria database | PBE-GGA | relaxed; spin magnetization = 0.00 μB/f.u.; electronic total energy = -45.98 eV per cell; space group = Cmcm; formation enthalpy at 0 K = -416 meV/atom
1.0
4.7203 0.0000 0.0000
0.0000 20.6146 0.0000
0.0000 0.0000 4.1477
Ba Ge Pb
4 4 4
direct
0.0000 0.0964 0.2500
0.0000 0.9036 0.7500
0.5000 0.4036 0.7500
0.5000 0.5964 0.2500
0.0000 0.4641 0.2500
0.0000 0.5359 0.7500
0.5000 0.0359 0.7500
0.5000 0.9641 0.2500
0.0000 0.2822 0.2500
0.0000 0.7178 0.7500
0.5000 0.2178 0.7500
0.5000 0.7822 0.2500

=====

7.
Ba2Ge3Pb2 | the Alexandria database | PBE-GGA | relaxed; spin magnetization = 0.00 μB/f.u.; electronic total energy = -54.53 eV per cell; space group = C2/m; formation enthalpy at 0 K = -307 meV/atom
1.0
12.2420 0.0000 0.0000
0.0000 5.0188 0.0000
-2.5927 0.0000 6.9967
Ba Ge Pb
4 6 4
direct
0.1382 0.0000 0.2805
0.3618 0.5000 0.7195
0.6382 0.5000 0.2805
0.8618 0.0000 0.7195
0.0000 0.5000 0.5000
0.0709 0.5000 0.9009
0.4291 0.0000 0.0991
0.5000 0.0000 0.5000
0.5709 0.0000 0.9009
0.9291 0.5000 0.0991
0.1659 0.0000 0.7890
0.3341 0.5000 0.2110
0.6659 0.5000 0.7890
0.8341 0.0000 0.2110

=====

8.
Ba3GePb2 | the Alexandria database | PBE-GGA | relaxed; spin magnetization = 0.00 μB/f.u.; electronic total energy = -83.60 eV per cell; space group = Pnma; formation enthalpy at 0 K = -516 meV/atom
1.0
14.0506 0.0000 0.0000
0.0000 4.9097 0.0000
0.0000 0.0000 14.1359
Ba Ge Pb
12 4 8
direct
0.0731 0.2500 0.1175
0.1099 0.7500 0.5472
0.2044 0.2500 0.7932
0.2956 0.7500 0.2932
0.3901 0.2500 0.0472
0.4269 0.7500 0.6175
0.5731 0.2500 0.3825
0.6099 0.7500 0.9528
0.7044 0.2500 0.7068
0.7956 0.7500 0.2068
0.8901 0.2500 0.4528
0.9269 0.7500 0.8825
0.1480 0.2500 0.3451
0.3520 0.7500 0.8451
0.6480 0.2500 0.1549
0.8520 0.7500 0.6549
0.0298 0.7500 0.3118
0.2062 0.7500 0.9921
0.2938 0.2500 0.4921
0.4702 0.2500 0.8118
0.5298 0.7500 0.1882
0.7062 0.7500 0.5079
0.7938 0.2500 0.0079
0.9702 0.2500 0.6882

=====

9.
BaGePb3 | the Alexandria database | PBE-GGA | relaxed; spin magnetization = 0.00 μB/f.u.; electronic total energy = -17.54 eV per cell; space group = Pm-3m; formation enthalpy at 0 K = 24 meV/atom
1.0
5.6718 0.0000 0.0000
0.0000 5.6718 0.0000
0.0000 0.0000 5.6718
Ba Ge Pb
1 1 3
direct
0.0000 0.0000 0.0000
0.5000 0.5000 0.5000
0.0000 0.5000 0.5000
0.5000 0.0000 0.5000
0.5000 0.5000 0.0000

=====

10.
BaGePb3 | the Alexandria database | PBE-GGA | relaxed; spin magnetization = 0.00 μB/f.u.; electronic total energy = -12.04 eV per cell; space group = Pm-3m; formation enthalpy at 0 K = 1125 meV/atom
1.0
6.2590 0.0000 0.0000
0.0000 6.2590 0.0000
0.0000 0.0000 6.2590
Ba Ge Pb
1 1 3
direct
0.0000 0.0000 0.0000
0.5000 0.5000 0.5000
0.0000 0.0000 0.5000
0.0000 0.5000 0.0000
0.5000 0.0000 0.0000

=====

11.
Ba2GePd6Pb | the Alexandria database | PBE-GGA | relaxed; spin magnetization = 0.00 μB/f.u.; electronic total energy = -48.51 eV per cell; space group = C2/m; formation enthalpy at 0 K = -518 meV/atom
1.0
6.2240 -2.9053 0.0000
6.2240 2.9053 0.0000
-5.4921 0.0000 6.6607
Ba Ge Pd Pb
2 1 6 1
direct
0.2466 0.2466 0.2891
0.7534 0.7534 0.7109
0.5000 0.5000 0.0000
0.2230 0.7198 0.2070
0.2538 0.2538 0.8877
0.2802 0.7770 0.7930
0.7198 0.2230 0.2070
0.7462 0.7462 0.1123
0.7770 0.2802 0.7930
0.0000 0.0000 0.5000

=====

12.
Ba2GePd4Pb3 | the Alexandria database | PBE-GGA | relaxed; spin magnetization = 0.00 μB/f.u.; electronic total energy = -45.40 eV per cell; space group = P-4m2; formation enthalpy at 0 K = -504 meV/atom
1.0
4.8583 0.0000 0.0000
0.0000 4.8583 0.0000
0.0000 0.0000 10.8993
Ba Ge Pd Pb
2 1 4 3
direct
0.0000 0.5000 0.2464
0.5000 0.0000 0.7536
0.5000 0.5000 0.0000
0.0000 0.0000 0.5000
0.0000 0.5000 0.8819
0.5000 0.0000 0.1181
0.5000 0.5000 0.5000
0.0000 0.0000 0.0000
0.0000 0.5000 0.6218
0.5000 0.0000 0.3782

=====

Q: The lowest electronic total energy belongs to which entry?
A: Ba3GePb2

=====

Q: Which of these has the lowest formation enthalpy at 0 K?
A: Ba5Ge2Pb

=====

Copy entry 4 word for word.
Ba8GePb2 | the Alexandria database | PBE-GGA | relaxed; spin magnetization = 0.00 μB/f.u.; electronic total energy = -31.41 eV per cell; space group = C2/m; formation enthalpy at 0 K = -364 meV/atom
1.0
11.0144 -2.9586 0.0000
11.0144 2.9586 0.0000
-2.1597 0.0000 7.7855
Ba Ge Pb
8 1 2
direct
0.0268 0.0268 0.2971
0.2137 0.2137 0.8023
0.3463 0.3463 0.5455
0.4085 0.4085 0.0793
0.5915 0.5915 0.9207
0.6537 0.6537 0.4545
0.7863 0.7863 0.1977
0.9732 0.9732 0.7029
0.5000 0.5000 0.5000
0.1857 0.1857 0.2200
0.8143 0.8143 0.7800

=====

Q: electronic total energy of number 7 (Ba2Ge3Pb2)?
A: -54.53 eV per cell